The following is a DFT calculation (PBE-GGA) of crystalline CdSiGe2Os at its relaxed geometry.

Unit cell a=4.8115 b=4.8115 c=4.5336 alpha=90.00 beta=90.00 gamma=90.00
Fractional coordinates of all 5 atoms:
1 Cd 0.0000 0.0000 0.0000
2 Si 0.5000 0.5000 0.5000
3 Ge 0.0000 0.5000 0.5000
4 Ge 0.5000 0.0000 0.5000
5 Os 0.5000 0.5000 0.0000

Magnetic moment, μB per formula unit: 0.00
Raw formation energy, eV/atom: 0.91
Crystal system: tetragonal
Mass density, Mg/m³: 7.531
N(E_F), states/eV/cell: 2.90

=====

The following is a DFT calculation (PBE-GGA) of crystalline PmPuSe at its relaxed geometry.

Unit cell a=8.6574 b=8.2814 c=7.4168 alpha=66.67 beta=61.45 gamma=51.88
Fractional coordinates of all 12 atoms:
1 Pm 0.0000 0.0000 0.0000
2 Pm 0.0000 0.0000 0.5000
3 Pm 0.0000 0.5000 0.0000
4 Pm 0.5000 0.0000 0.0000
5 Pu 0.2252 0.2252 0.5248
6 Pu 0.4752 0.4752 0.7748
7 Pu 0.5248 0.5248 0.2252
8 Pu 0.7748 0.7748 0.4752
9 Se 0.1901 0.5599 0.1901
10 Se 0.4401 0.8099 0.4401
11 Se 0.5599 0.1901 0.5599
12 Se 0.8099 0.4401 0.8099

Magnetic moment, μB per formula unit: 6.55
Raw formation energy, eV/atom: -0.73
Crystal system: orthorhombic
Mass density, Mg/m³: 8.551
N(E_F), states/eV/cell: 41.57

=====

The following is a DFT calculation (PBE-GGA) of crystalline SrTlP2O at its relaxed geometry.

Unit cell a=5.2444 b=5.2444 c=4.4063 alpha=90.00 beta=90.00 gamma=90.00
Fractional coordinates of all 5 atoms:
1 Sr 0.0000 0.0000 0.0000
2 Tl 0.5000 0.5000 0.5000
3 P 0.0000 0.5000 0.5000
4 P 0.5000 0.0000 0.5000
5 O 0.5000 0.5000 0.0000

Magnetic moment, μB per formula unit: 1.84
Offset from the most stable computed form, meV per atom: 0
Raw formation energy, eV/atom: 0.11
Crystal system: tetragonal
Mass density, Mg/m³: 5.069
N(E_F), states/eV/cell: 4.21

=====

The following is a DFT calculation (PBE-GGA) of crystalline TaTlIrSe2 at its relaxed geometry.

Unit cell a=4.8381 b=4.8381 c=5.1735 alpha=90.00 beta=90.00 gamma=90.00
Fractional coordinates of all 5 atoms:
1 Ta 0.0000 0.0000 0.0000
2 Tl 0.5000 0.5000 0.0000
3 Ir 0.5000 0.5000 0.5000
4 Se 0.0000 0.5000 0.5000
5 Se 0.5000 0.0000 0.5000

Magnetic moment, μB per formula unit: 0.00
Raw formation energy, eV/atom: 1.20
Crystal system: tetragonal
Mass density, Mg/m³: 10.085
N(E_F), states/eV/cell: 6.80